DFT (PBE) results for a geometry-optimized LiCeGaHg structure.

Geometry as POSCAR:
```
LiCeGaHg
1.0
0.0000 3.5559 3.5559
3.5559 0.0000 3.5559
3.5559 3.5559 0.0000
Li Ce Ga Hg
1 1 1 1
direct
0.0000 0.0000 0.0000
0.5000 0.5000 0.5000
0.2500 0.2500 0.2500
0.7500 0.7500 0.7500
```

Values from the calculation:
ΔH_f (0 K) ... -0.3752 eV/atom
DOS(E_F) ... 6.02 states/eV per cell
M_tot ... 0.79 μB per formula unit

---

DFT (PBE) results for a geometry-optimized NaCeGaHg structure.

Geometry as POSCAR:
```
NaCeGaHg
1.0
0.0000 3.6634 3.6634
3.6634 0.0000 3.6634
3.6634 3.6634 0.0000
Na Ce Ga Hg
1 1 1 1
direct
0.0000 0.0000 0.0000
0.5000 0.5000 0.5000
0.7500 0.7500 0.7500
0.2500 0.2500 0.2500
```

Values from the calculation:
ΔH_f (0 K) ... -0.2607 eV/atom
DOS(E_F) ... 6.47 states/eV per cell
M_tot ... 0.82 μB per formula unit

---

DFT (PBE) results for a geometry-optimized Ce2GaHgOs structure.

Geometry as POSCAR:
```
Ce2GaHgOs
1.0
7.9176 0.0000 0.0000
0.0000 4.1012 0.0000
-3.0467 0.0000 7.3939
Ce Ga Hg Os
4 2 2 2
direct
0.0106 0.2500 0.2171
0.3457 0.7500 0.6156
0.6543 0.2500 0.3844
0.9894 0.7500 0.7829
0.3623 0.2500 0.9506
0.6377 0.7500 0.0494
0.3143 0.7500 0.1912
0.6857 0.2500 0.8088
0.1156 0.2500 0.6302
0.8844 0.7500 0.3698
```

Values from the calculation:
ΔH_f (0 K) ... -0.3409 eV/atom
DOS(E_F) ... 16.84 states/eV per cell
M_tot ... 0.68 μB per formula unit

---

DFT (PBE) results for a geometry-optimized CePaGaHg structure.

Geometry as POSCAR:
```
CePaGaHg
1.0
0.0000 3.6904 3.6904
3.6904 0.0000 3.6904
3.6904 3.6904 0.0000
Ce Pa Ga Hg
1 1 1 1
direct
0.0000 0.0000 0.0000
0.5000 0.5000 0.5000
0.7500 0.7500 0.7500
0.2500 0.2500 0.2500
```

Values from the calculation:
ΔH_f (0 K) ... -0.0611 eV/atom
DOS(E_F) ... 13.03 states/eV per cell
M_tot ... 1.87 μB per formula unit

---

DFT (PBE) results for a geometry-optimized Ce2Ga3HgPd4 structure.

Geometry as POSCAR:
```
Ce2Ga3HgPd4
1.0
4.1130 0.0000 0.0000
0.0000 4.1130 0.0000
0.0000 0.0000 11.7577
Ce Ga Hg Pd
2 3 1 4
direct
0.0000 0.5000 0.2491
0.5000 0.0000 0.7509
0.0000 0.5000 0.8740
0.5000 0.0000 0.1260
0.5000 0.5000 0.5000
0.0000 0.0000 0.5000
0.0000 0.0000 0.0000
0.0000 0.5000 0.6620
0.5000 0.0000 0.3380
0.5000 0.5000 0.0000
```

Values from the calculation:
ΔH_f (0 K) ... -0.6616 eV/atom
DOS(E_F) ... 12.13 states/eV per cell
M_tot ... 1.48 μB per formula unit

---

DFT (PBE) results for a geometry-optimized CePrGaHg structure.

Geometry as POSCAR:
```
CePrGaHg
1.0
3.5298 0.0000 0.0000
0.0000 3.5298 0.0000
0.0000 0.0000 8.4266
Ce Pr Ga Hg
1 1 1 1
direct
0.0000 0.0000 0.0000
0.0000 0.0000 0.5299
0.5000 0.5000 0.7688
0.5000 0.5000 0.2625
```

Values from the calculation:
ΔH_f (0 K) ... -0.4395 eV/atom
DOS(E_F) ... 7.39 states/eV per cell
M_tot ... 0.81 μB per formula unit
Energy above the most stable polymorph in this dataset ... 0.000 kcal/mol of atoms

---

DFT (PBE) results for a geometry-optimized CePrGaHg structure.

Geometry as POSCAR:
```
CePrGaHg
1.0
0.0000 3.7849 3.7849
3.7849 0.0000 3.7849
3.7849 3.7849 0.0000
Ce Pr Ga Hg
1 1 1 1
direct
0.0000 0.0000 0.0000
0.5000 0.5000 0.5000
0.2500 0.2500 0.2500
0.7500 0.7500 0.7500
```

Values from the calculation:
ΔH_f (0 K) ... -0.4040 eV/atom
DOS(E_F) ... 9.98 states/eV per cell
M_tot ... 1.72 μB per formula unit
Energy above the most stable polymorph in this dataset ... 0.817 kcal/mol of atoms

---

DFT (PBE) results for a geometry-optimized Ce2Ga4HgPt3 structure.

Geometry as POSCAR:
```
Ce2Ga4HgPt3
1.0
4.3462 0.0000 0.0000
0.0000 4.3462 0.0000
0.0000 0.0000 10.5966
Ce Ga Hg Pt
2 4 1 3
direct
0.0000 0.5000 0.2381
0.5000 0.0000 0.7619
0.0000 0.0000 0.0000
0.0000 0.5000 0.6409
0.5000 0.0000 0.3591
0.5000 0.5000 0.0000
0.0000 0.0000 0.5000
0.0000 0.5000 0.8722
0.5000 0.0000 0.1278
0.5000 0.5000 0.5000
```

Values from the calculation:
ΔH_f (0 K) ... -0.7707 eV/atom
DOS(E_F) ... 13.50 states/eV per cell
M_tot ... 1.50 μB per formula unit